First-principles (PBE-GGA) data for an optimized crystal structure of Dy3Cd, as listed in the Alexandria database.

Calculated values
calculated formation energy = -0.14 eV per atom
ΔE to the lowest computed polymorph = 0.00 eV/f.u.
final energy = -3.824 eV per atom
Fermi-level density of states = 7.6 states/eV/cell
calculated volume = 115.92 Å³/f.u.

```
data_Dy3Cd
_cell_length_a 3.801
_cell_length_b 11.364
_cell_length_c 5.367
_cell_angle_alpha 90.00
_cell_angle_beta 90.00
_cell_angle_gamma 90.00
_space_group_name_H-M_alt 'P 1'
_space_group_IT_number 1
_space_group_name_Hall 'P 1'
loop_
_atom_site_label
_atom_site_fract_x
_atom_site_fract_y
_atom_site_fract_z
Dy1 0.000 0.000 0.000
Dy2 0.000 0.224 0.499
Dy3 0.000 0.776 0.499
Dy4 0.500 0.276 0.999
Dy5 0.500 0.500 0.500
Dy6 0.500 0.724 0.999
Cd1 0.000 0.500 0.000
Cd2 0.500 0.000 0.500
```


First-principles (PBE-GGA) data for an optimized crystal structure of ZnAu2O, as listed in the Alexandria database.

Calculated values
ΔE to the lowest computed polymorph = 0.00 eV/f.u.
final energy = -3.086 eV per atom
Fermi-level density of states = 1.8 states/eV/cell
calculated volume = 58.05 Å³/f.u.

```
data_ZnAu2O
_cell_length_a 6.146
_cell_length_b 6.146
_cell_length_c 6.146
_cell_angle_alpha 90.00
_cell_angle_beta 90.00
_cell_angle_gamma 90.00
_space_group_name_H-M_alt 'P 1'
_space_group_IT_number 1
_space_group_name_Hall 'P 1'
loop_
_atom_site_label
_atom_site_fract_x
_atom_site_fract_y
_atom_site_fract_z
Zn1 0.000 0.000 0.000
Zn2 0.000 0.500 0.500
Zn3 0.500 0.000 0.500
Zn4 0.500 0.500 0.000
Au1 0.250 0.250 0.250
Au2 0.250 0.250 0.750
Au3 0.250 0.750 0.250
Au4 0.250 0.750 0.750
Au5 0.750 0.250 0.250
Au6 0.750 0.250 0.750
Au7 0.750 0.750 0.250
Au8 0.750 0.750 0.750
O1 0.000 0.000 0.500
O2 0.000 0.500 0.000
O3 0.500 0.000 0.000
O4 0.500 0.500 0.500
```


First-principles (PBE-GGA) data for an optimized crystal structure of TiAgO2, as listed in the Alexandria database.

Calculated values
final energy = -6.959 eV per atom
Fermi-level density of states = 0.7 states/eV/cell
calculated volume = 74.12 Å³/f.u.

```
data_TiAgO2
_cell_length_a 5.928
_cell_length_b 5.928
_cell_length_c 8.437
_cell_angle_alpha 90.00
_cell_angle_beta 90.00
_cell_angle_gamma 90.00
_space_group_name_H-M_alt 'P 1'
_space_group_IT_number 1
_space_group_name_Hall 'P 1'
loop_
_atom_site_label
_atom_site_fract_x
_atom_site_fract_y
_atom_site_fract_z
Ti1 0.000 0.000 0.000
Ti2 0.000 0.500 0.250
Ti3 0.500 0.000 0.750
Ti4 0.500 0.500 0.500
Ag1 0.000 0.000 0.500
Ag2 0.000 0.500 0.750
Ag3 0.500 0.000 0.250
Ag4 0.500 0.500 0.000
O1 0.024 0.250 0.125
O2 0.250 0.524 0.375
O3 0.250 0.976 0.875
O4 0.476 0.250 0.625
O5 0.524 0.750 0.625
O6 0.750 0.024 0.875
O7 0.750 0.476 0.375
O8 0.976 0.750 0.125
```


First-principles (PBE-GGA) data for an optimized crystal structure of TcMoOs, as listed in the Alexandria database.

Calculated values
calculated formation energy = 0.14 eV per atom
ΔE to the lowest computed polymorph = 0.26 eV/f.u.
final energy = -10.668 eV per atom
Fermi-level density of states = 3.5 states/eV/cell
calculated volume = 44.95 Å³/f.u.

```
data_TcMoOs
_cell_length_a 2.757
_cell_length_b 2.757
_cell_length_c 6.827
_cell_angle_alpha 90.00
_cell_angle_beta 90.00
_cell_angle_gamma 120.00
_space_group_name_H-M_alt 'P 1'
_space_group_IT_number 1
_space_group_name_Hall 'P 1'
loop_
_atom_site_label
_atom_site_fract_x
_atom_site_fract_y
_atom_site_fract_z
Tc1 0.000 0.000 0.000
Mo1 0.333 0.667 0.345
Os1 0.667 0.333 0.679
```


First-principles (PBE-GGA) data for an optimized crystal structure of BaTm2Se4, as listed in the Alexandria database.

Calculated values
ΔE to the lowest computed polymorph = 0.00 eV/f.u.
final energy = -5.512 eV per atom
calculated volume = 200.94 Å³/f.u.

```
data_BaTm2Se4
_cell_length_a 12.788
_cell_length_b 4.170
_cell_length_c 15.072
_cell_angle_alpha 90.00
_cell_angle_beta 90.00
_cell_angle_gamma 90.00
_space_group_name_H-M_alt 'P 1'
_space_group_IT_number 1
_space_group_name_Hall 'P 1'
loop_
_atom_site_label
_atom_site_fract_x
_atom_site_fract_y
_atom_site_fract_z
Ba1 0.240 0.250 0.165
Ba2 0.260 0.750 0.665
Ba3 0.740 0.250 0.335
Ba4 0.760 0.750 0.835
Tm1 0.063 0.250 0.391
Tm2 0.079 0.250 0.901
Tm3 0.421 0.750 0.401
Tm4 0.437 0.750 0.891
Tm5 0.563 0.250 0.109
Tm6 0.579 0.250 0.599
Tm7 0.921 0.750 0.099
Tm8 0.937 0.750 0.609
Se1 0.025 0.750 0.784
Se2 0.085 0.250 0.576
Se3 0.124 0.750 0.025
Se4 0.206 0.750 0.341
Se5 0.294 0.250 0.841
Se6 0.376 0.250 0.525
Se7 0.415 0.750 0.076
Se8 0.475 0.250 0.284
Se9 0.525 0.750 0.716
Se10 0.585 0.250 0.924
Se11 0.624 0.750 0.475
Se12 0.706 0.750 0.159
Se13 0.794 0.250 0.659
Se14 0.876 0.250 0.975
Se15 0.915 0.750 0.424
Se16 0.975 0.250 0.216
```


First-principles (PBE-GGA) data for an optimized crystal structure of AcGaGePt3, as listed in the Alexandria database.

Calculated values
calculated formation energy = -0.77 eV per atom
final energy = -5.754 eV per atom
Fermi-level density of states = 4.8 states/eV/cell
calculated volume = 135.69 Å³/f.u.

```
data_AcGaGePt3
_cell_length_a 8.400
_cell_length_b 8.400
_cell_length_c 5.920
_cell_angle_alpha 90.00
_cell_angle_beta 90.00
_cell_angle_gamma 139.48
_space_group_name_H-M_alt 'P 1'
_space_group_IT_number 1
_space_group_name_Hall 'P 1'
loop_
_atom_site_label
_atom_site_fract_x
_atom_site_fract_y
_atom_site_fract_z
Ac1 0.195 0.805 0.750
Ac2 0.805 0.195 0.250
Ga1 0.404 0.596 0.250
Ga2 0.596 0.404 0.750
Ge1 0.088 0.912 0.250
Ge2 0.912 0.088 0.750
Pt1 0.245 0.755 0.250
Pt2 0.254 0.254 0.000
Pt3 0.254 0.254 0.500
Pt4 0.746 0.746 0.000
Pt5 0.746 0.746 0.500
Pt6 0.755 0.245 0.750
```


First-principles (PBE-GGA) data for an optimized crystal structure of NaZr2W, as listed in the Alexandria database.

Calculated values
calculated formation energy = 0.49 eV per atom
ΔE to the lowest computed polymorph = 0.00 eV/f.u.
final energy = -7.348 eV per atom
Fermi-level density of states = 15.2 states/eV/cell
calculated volume = 80.81 Å³/f.u.

```
data_NaZr2W
_cell_length_a 6.863
_cell_length_b 6.863
_cell_length_c 6.863
_cell_angle_alpha 90.00
_cell_angle_beta 90.00
_cell_angle_gamma 90.00
_space_group_name_H-M_alt 'P 1'
_space_group_IT_number 1
_space_group_name_Hall 'P 1'
loop_
_atom_site_label
_atom_site_fract_x
_atom_site_fract_y
_atom_site_fract_z
Na1 0.000 0.000 0.000
Na2 0.000 0.500 0.500
Na3 0.500 0.000 0.500
Na4 0.500 0.500 0.000
Zr1 0.250 0.250 0.250
Zr2 0.250 0.250 0.750
Zr3 0.250 0.750 0.250
Zr4 0.250 0.750 0.750
Zr5 0.750 0.250 0.250
Zr6 0.750 0.250 0.750
Zr7 0.750 0.750 0.250
Zr8 0.750 0.750 0.750
W1 0.000 0.000 0.500
W2 0.000 0.500 0.000
W3 0.500 0.000 0.000
W4 0.500 0.500 0.500
```


First-principles (PBE-GGA) data for an optimized crystal structure of TbPm2Th3As6, as listed in the Alexandria database.

Calculated values
calculated formation energy = -1.48 eV per atom
final energy = -6.835 eV per atom
Fermi-level density of states = 5.4 states/eV/cell
calculated volume = 321.09 Å³/f.u.

```
data_TbPm2Th3As6
_cell_length_a 9.457
_cell_length_b 9.457
_cell_length_c 8.440
_cell_angle_alpha 102.72
_cell_angle_beta 102.72
_cell_angle_gamma 25.89
_space_group_name_H-M_alt 'P 1'
_space_group_IT_number 1
_space_group_name_Hall 'P 1'
loop_
_atom_site_label
_atom_site_fract_x
_atom_site_fract_y
_atom_site_fract_z
Tb1 0.000 0.000 0.000
Pm1 0.334 0.334 0.667
Pm2 0.666 0.666 0.333
Th1 0.000 0.000 0.500
Th2 0.333 0.333 0.166
Th3 0.667 0.667 0.834
As1 0.165 0.165 0.082
As2 0.166 0.166 0.584
As3 0.500 0.500 0.246
As4 0.500 0.500 0.754
As5 0.834 0.834 0.416
As6 0.835 0.835 0.918
```


First-principles (PBE-GGA) data for an optimized crystal structure of MnTcTe, as listed in the Alexandria database.

Calculated values
ΔE to the lowest computed polymorph = 1.01 eV/f.u.
final energy = -7.043 eV per atom
Fermi-level density of states = 3.2 states/eV/cell
calculated volume = 48.84 Å³/f.u.

```
data_MnTcTe
_cell_length_a 4.298
_cell_length_b 4.298
_cell_length_c 3.053
_cell_angle_alpha 90.00
_cell_angle_beta 90.00
_cell_angle_gamma 120.00
_space_group_name_H-M_alt 'P 1'
_space_group_IT_number 1
_space_group_name_Hall 'P 1'
loop_
_atom_site_label
_atom_site_fract_x
_atom_site_fract_y
_atom_site_fract_z
Mn1 0.000 0.000 0.000
Tc1 0.667 0.333 0.496
Te1 0.333 0.667 0.987
```


First-principles (PBE-GGA) data for an optimized crystal structure of MgTaVCu2, as listed in the Alexandria database.

Calculated values
calculated formation energy = 1.52 eV per atom
final energy = -4.635 eV per atom
Fermi-level density of states = 4.4 states/eV/cell
calculated volume = 88.58 Å³/f.u.

```
data_MgTaVCu2
_cell_length_a 4.231
_cell_length_b 4.231
_cell_length_c 4.949
_cell_angle_alpha 90.00
_cell_angle_beta 90.00
_cell_angle_gamma 90.00
_space_group_name_H-M_alt 'P 1'
_space_group_IT_number 1
_space_group_name_Hall 'P 1'
loop_
_atom_site_label
_atom_site_fract_x
_atom_site_fract_y
_atom_site_fract_z
Mg1 0.000 0.000 0.000
Ta1 0.000 0.000 0.500
V1 0.500 0.500 0.500
Cu1 0.000 0.500 0.000
Cu2 0.500 0.000 0.000
```


First-principles (PBE-GGA) data for an optimized crystal structure of ScFe2Ni, as listed in the Alexandria database.

Calculated values
calculated formation energy = 0.05 eV per atom
final energy = -7.208 eV per atom
Fermi-level density of states = 6.6 states/eV/cell
calculated volume = 53.81 Å³/f.u.

```
data_ScFe2Ni
_cell_length_a 5.068
_cell_length_b 8.502
_cell_length_c 2.706
_cell_angle_alpha 90.00
_cell_angle_beta 112.62
_cell_angle_gamma 90.00
_space_group_name_H-M_alt 'P 1'
_space_group_IT_number 1
_space_group_name_Hall 'P 1'
loop_
_atom_site_label
_atom_site_fract_x
_atom_site_fract_y
_atom_site_fract_z
Sc1 0.000 0.000 0.000
Sc2 0.500 0.500 0.000
Fe1 0.250 0.250 0.500
Fe2 0.250 0.750 0.500
Fe3 0.750 0.250 0.500
Fe4 0.750 0.750 0.500
Ni1 0.000 0.500 0.000
Ni2 0.500 0.000 0.000
```


First-principles (PBE-GGA) data for an optimized crystal structure of LaRe3Tc, as listed in the Alexandria database.

Calculated values
calculated formation energy = 1.27 eV per atom
ΔE to the lowest computed polymorph = 0.00 eV/f.u.
final energy = -9.254 eV per atom
Fermi-level density of states = 4.8 states/eV/cell
calculated volume = 108.10 Å³/f.u.

```
data_LaRe3Tc
_cell_length_a 4.764
_cell_length_b 4.764
_cell_length_c 4.764
_cell_angle_alpha 90.00
_cell_angle_beta 90.00
_cell_angle_gamma 90.00
_space_group_name_H-M_alt 'P 1'
_space_group_IT_number 1
_space_group_name_Hall 'P 1'
loop_
_atom_site_label
_atom_site_fract_x
_atom_site_fract_y
_atom_site_fract_z
La1 0.000 0.000 0.000
Re1 0.000 0.500 0.500
Re2 0.500 0.000 0.500
Re3 0.500 0.500 0.000
Tc1 0.500 0.500 0.500
```


First-principles (PBE-GGA) data for an optimized crystal structure of Cs2YTaF6, as listed in the Alexandria database.

Calculated values
final energy = -5.685 eV per atom
Fermi-level density of states = 0.0 states/eV/cell
calculated volume = 211.62 Å³/f.u.

```
data_Cs2YTaF6
_cell_length_a 6.598
_cell_length_b 6.598
_cell_length_c 6.598
_cell_angle_alpha 116.86
_cell_angle_beta 116.86
_cell_angle_gamma 95.53
_space_group_name_H-M_alt 'P 1'
_space_group_IT_number 1
_space_group_name_Hall 'P 1'
loop_
_atom_site_label
_atom_site_fract_x
_atom_site_fract_y
_atom_site_fract_z
Cs1 0.250 0.750 0.500
Cs2 0.750 0.250 0.500
Y1 0.000 0.000 0.000
Ta1 0.500 0.500 0.000
F1 0.224 0.224 0.448
F2 0.224 0.776 0.000
F3 0.250 0.250 0.000
F4 0.750 0.750 0.000
F5 0.776 0.224 0.000
F6 0.776 0.776 0.552
```


First-principles (PBE-GGA) data for an optimized crystal structure of K4Ce3VS8, as listed in the Alexandria database.

Calculated values
final energy = -5.601 eV per atom
Fermi-level density of states = 14.0 states/eV/cell
calculated volume = 421.98 Å³/f.u.

```
data_K4Ce3VS8
_cell_length_a 8.729
_cell_length_b 8.729
_cell_length_c 8.729
_cell_angle_alpha 55.57
_cell_angle_beta 55.57
_cell_angle_gamma 55.57
_space_group_name_H-M_alt 'P 1'
_space_group_IT_number 1
_space_group_name_Hall 'P 1'
loop_
_atom_site_label
_atom_site_fract_x
_atom_site_fract_y
_atom_site_fract_z
K1 0.000 0.000 0.000
K2 0.000 0.500 0.500
K3 0.500 0.000 0.500
K4 0.500 0.500 0.000
Ce1 0.000 0.000 0.500
Ce2 0.000 0.500 0.000
Ce3 0.500 0.000 0.000
V1 0.500 0.500 0.500
S1 0.237 0.237 0.237
S2 0.250 0.723 0.723
S3 0.277 0.277 0.750
S4 0.277 0.750 0.277
S5 0.723 0.250 0.723
S6 0.723 0.723 0.250
S7 0.750 0.277 0.277
S8 0.763 0.763 0.763
```


First-principles (PBE-GGA) data for an optimized crystal structure of Zr2NiAs, as listed in the Alexandria database.

Calculated values
calculated formation energy = -0.37 eV per atom
final energy = -7.248 eV per atom
Fermi-level density of states = 13.2 states/eV/cell
calculated volume = 75.99 Å³/f.u.

```
data_Zr2NiAs
_cell_length_a 7.135
_cell_length_b 7.135
_cell_length_c 5.970
_cell_angle_alpha 90.00
_cell_angle_beta 90.00
_cell_angle_gamma 90.00
_space_group_name_H-M_alt 'P 1'
_space_group_IT_number 1
_space_group_name_Hall 'P 1'
loop_
_atom_site_label
_atom_site_fract_x
_atom_site_fract_y
_atom_site_fract_z
Zr1 0.234 0.250 0.125
Zr2 0.250 0.734 0.375
Zr3 0.250 0.766 0.875
Zr4 0.266 0.250 0.625
Zr5 0.734 0.750 0.625
Zr6 0.750 0.234 0.875
Zr7 0.750 0.266 0.375
Zr8 0.766 0.750 0.125
Ni1 0.000 0.000 0.000
Ni2 0.000 0.500 0.250
Ni3 0.500 0.000 0.750
Ni4 0.500 0.500 0.500
As1 0.000 0.000 0.500
As2 0.000 0.500 0.750
As3 0.500 0.000 0.250
As4 0.500 0.500 0.000
```


First-principles (PBE-GGA) data for an optimized crystal structure of MoRu3, as listed in the Alexandria database.

Calculated values
calculated formation energy = 0.07 eV per atom
ΔE to the lowest computed polymorph = 0.52 eV/f.u.
final energy = -9.591 eV per atom
Fermi-level density of states = 4.9 states/eV/cell
calculated volume = 57.70 Å³/f.u.

```
data_MoRu3
_cell_length_a 2.738
_cell_length_b 3.831
_cell_length_c 5.502
_cell_angle_alpha 90.00
_cell_angle_beta 90.00
_cell_angle_gamma 90.00
_space_group_name_H-M_alt 'P 1'
_space_group_IT_number 1
_space_group_name_Hall 'P 1'
loop_
_atom_site_label
_atom_site_fract_x
_atom_site_fract_y
_atom_site_fract_z
Mo1 0.000 0.000 0.000
Ru1 0.000 0.000 0.500
Ru2 0.500 0.500 0.256
Ru3 0.500 0.500 0.744
```


First-principles (PBE-GGA) data for an optimized crystal structure of LiCeMg2Zn2, as listed in the Alexandria database.

Calculated values
calculated formation energy = -0.12 eV per atom
final energy = -2.388 eV per atom
Fermi-level density of states = 8.2 states/eV/cell
calculated volume = 124.90 Å³/f.u.

```
data_LiCeMg2Zn2
_cell_length_a 4.762
_cell_length_b 4.762
_cell_length_c 6.361
_cell_angle_alpha 90.00
_cell_angle_beta 90.00
_cell_angle_gamma 120.00
_space_group_name_H-M_alt 'P 1'
_space_group_IT_number 1
_space_group_name_Hall 'P 1'
loop_
_atom_site_label
_atom_site_fract_x
_atom_site_fract_y
_atom_site_fract_z
Li1 0.000 0.000 0.000
Ce1 0.000 0.000 0.500
Mg1 0.333 0.667 0.177
Mg2 0.667 0.333 0.823
Zn1 0.333 0.667 0.720
Zn2 0.667 0.333 0.280
```